# Be3PdF

An optimized crystal structure of Be3PdF (GGA-PBE, Alexandria via LeMat-Bulk).

abc: 3.6719 3.6719 3.6719
angles: 90.00 90.00 90.00
Sites, in units of the cell vectors:
1 Be 0.0000 0.0000 0.5000
2 Be 0.0000 0.5000 0.0000
3 Be 0.5000 0.0000 0.0000
4 Pd 0.5000 0.5000 0.5000
5 F 0.0000 0.0000 0.0000

Results
Formation energy (no corrections) ... -1.99 eV/f.u.
Total magnetic moment ... 0.00 μB/cell
Volume ... 50 Å³ per cell
Total energy ... -4.05 eV per atom
Crystal system ... cubic